Entry 1:
Entry from the Alexandria database: crystalline KNiB3 at its relaxed geometry (PBEsol).

The structure belongs to space group Pm-3m (No. 221); the cell edges are 4.2856, 4.2856 and 4.2856 Å and the angles 90.00°, 90.00° and 90.00°. The inequivalent atoms are K at (0.0000, 0.0000, 0.0000), Ni at (0.5000, 0.5000, 0.5000) and B at (0.0000, 0.0000, 0.5000).

The value obtained for the total energy is -0.07146 hartree per atom. The formation energy is 3.724 eV/atom.



Entry 2:
Entry from the Alexandria database: crystalline Ca3ReGe at its relaxed geometry (PBEsol).

The structure belongs to space group Pm-3m (No. 221); the cell edges are 5.3316, 5.3316 and 5.3316 Å and the angles 90.00°, 90.00° and 90.00°. The inequivalent atoms are Ca at (0.0000, 0.0000, 0.5000), Re at (0.0000, 0.0000, 0.0000) and Ge at (0.5000, 0.5000, 0.5000).

The value obtained for the total energy is -0.15046 hartree per atom. The formation energy is 0.840 eV/atom.



Entry 3:
Entry from the Alexandria database: crystalline Fe2SeBr at its relaxed geometry (PBEsol).

The structure belongs to space group R-3m (No. 166, hexagonal axes); the cell edges are 3.8843, 3.8843 and 16.9226 Å and the angles 90.00°, 90.00° and 120.00°. The inequivalent atoms are Fe at (0.0000, 0.0000, 0.2162), Se at (0.0000, 0.0000, 0.5000) and Br at (0.0000, 0.0000, 0.0000).

The value obtained for the total energy is -0.21104 hartree per atom.



Entry 4:
Entry from the Alexandria database: crystalline BaTa2As at its relaxed geometry (PBEsol).

The structure belongs to space group Imm2 (No. 44); the cell edges are 3.1762, 5.8564 and 10.1923 Å and the angles 90.00°, 90.00° and 90.00°. The inequivalent atoms are Ba at (0.0000, 0.0000, 0.0000), Ta at (0.0000, 0.0000, 0.4858), Ta at (0.0000, 0.5000, 0.1958) and As at (0.0000, 0.5000, 0.7790).

The value obtained for the total energy is -0.27146 hartree per atom. The formation energy is 0.703 eV/atom.



What did the third record say?
Entry from the Alexandria database: crystalline Fe2SeBr at its relaxed geometry (PBEsol).

The structure belongs to space group R-3m (No. 166, hexagonal axes); the cell edges are 3.8843, 3.8843 and 16.9226 Å and the angles 90.00°, 90.00° and 120.00°. The inequivalent atoms are Fe at (0.0000, 0.0000, 0.2162), Se at (0.0000, 0.0000, 0.5000) and Br at (0.0000, 0.0000, 0.0000).

The value obtained for the total energy is -0.21104 hartree per atom.